The following is a DFT calculation (PBE) of a relaxed structure of CaAlSe2Br.

Unit cell a=5.5997 b=5.5997 c=5.6076 alpha=90.00 beta=90.00 gamma=90.00
Closest atoms and distances in Å follow each position.
Element x y z (fractional)
Ca (0.0000, 0.0000, 0.0000)  4 Se 2.80, 2 Br 2.80
Al (0.5000, 0.5000, 0.5000)  4 Br 3.96, 8 Se 3.96
Se (0.0000, 0.5000, 0.0000)  2 Ca 2.80
Se (0.5000, 0.0000, 0.0000)  2 Ca 2.80
Br (0.0000, 0.0000, 0.5000)  2 Ca 2.80

For the volume, the calculation gives 175.8 Å³/cell. The value obtained for the energy relative to the lowest polymorph listed for this composition is 65.7 kJ per mole of atoms. The value obtained for the mass density is 2.88 g/cm³. Its formation energy from raw total energies is -0.27 eV per atom. Its space group is No. 123.